{"formula": "CaSmAlGa", "functional": "GGA-PBE", "state": "relaxed", "lattice": [[5.1997, 0.0000, 0.0000], [2.5998, 4.5031, 0.0000], [2.5998, 1.5010, 4.2455]], "species": ["Ca", "Ga", "Sm", "Al"], "fractional_positions": [[0.2500, 0.2500, 0.2500], [0.0000, 0.0000, 0.0000], [0.7500, 0.7500, 0.7500], [0.5000, 0.5000, 0.5000]], "volume_a3_per_cell": 99.4, "sg": "F-43m, No. 216", "m_tot_mub_per_fu": 0.000, "total_energy_ev_per_atom": -3.744}

{"formula": "KLa2AsO5", "functional": "GGA-PBE", "state": "relaxed", "lattice": [[-1.9500, 6.4332, -1.9559], [-4.8504, -2.7562, -4.2298], [-0.6360, -1.6851, 7.6213]], "species": ["K", "K", "La", "La", "La", "La", "As", "As", "O", "O", "O", "O", "O", "O", "O", "O", "O", "O"], "fractional_positions": [[0.2500, 0.2500, 0.5000], [0.7500, 0.7500, 0.5000], [0.1812, 0.3188, 0.0000], [0.6812, 0.1812, 0.0000], [0.3188, 0.8188, 0.0000], [0.8188, 0.6812, 0.0000], [0.2500, 0.7500, 0.5000], [0.7500, 0.2500, 0.5000], [0.9885, 0.4885, 0.2535], [0.7350, 0.2350, 0.7465], [0.0115, 0.5115, 0.7465], [0.2350, 0.0115, 0.7465], [0.5115, 0.7350, 0.7465], [0.7650, 0.9885, 0.2535], [0.4885, 0.2650, 0.2535], [0.2650, 0.7650, 0.2535], [0.5000, 0.5000, 0.0000], [0.0000, 0.0000, 0.0000]], "volume_a3_per_cell": 297.4, "sg": "I4/mcm, No. 140", "m_tot_mub_per_fu": 0.000, "e_form_raw_ev_per_atom": -2.34}

{"formula": "TcAg3I2Cl6", "functional": "GGA-PBE", "state": "relaxed", "lattice": [[6.0509, 0.0000, 0.1501], [0.0000, 7.6862, 0.0000], [-0.6988, -3.8431, 7.1517]], "species": ["Tc", "Ag", "Ag", "Ag", "I", "I", "Cl", "Cl", "Cl", "Cl", "Cl", "Cl"], "fractional_positions": [[0.5000, 0.0000, 0.0000], [0.0000, 0.5000, 0.0000], [0.5000, 0.5000, 0.5000], [0.5000, 0.0000, 0.5000], [0.1994, 0.6823, 0.3647], [0.8006, 0.3177, 0.6353], [0.7225, 0.2940, 0.1493], [0.2775, 0.7060, 0.8507], [0.7196, 0.8713, 0.7427], [0.2804, 0.1287, 0.2573], [0.2775, 0.1447, 0.8507], [0.7225, 0.8553, 0.1493]], "volume_a3_per_cell": 333.4, "sg": "C2/m, No. 12", "m_tot_mub_per_fu": 1.990, "e_form_raw_ev_per_atom": -0.46}